# 1
Material: Tb2Dy5Er
Method: DFT, PBE
State: relaxed

Output
Calculated total energy ... -73.43 eV for the cell shown
Energy above the lowest structure with this stoichiometry ... 0 meV per atom
Formation energy from the elements ... 0.0151 eV/atom

a = 7.0741 Å, b = 14.1476 Å, c = 4.9935 Å
α = 90.00°, β = 90.00°, γ = 90.00°
Space group Pbam (No. 55)
Symmetry-distinct sites (fractional):
1 Tb 0.2505 0.1248 0.0000 [4 per cell]
2 Dy 0.0000 0.0000 0.5000 [2 per cell]
3 Dy 0.0006 0.2502 0.5000 [4 per cell]
4 Dy 0.2504 0.3751 0.0000 [4 per cell]
5 Er 0.0000 0.5000 0.5000 [2 per cell]



# 2
Material: TbDy2Er
Method: DFT, PBE
State: relaxed

Output
Calculated total energy ... -55.11 eV for the cell shown
Energy above the lowest structure with this stoichiometry ... 0 meV per atom
Formation energy from the elements ... 0.0066 eV/atom

a = 3.5575 Å, b = 3.5575 Å, c = 34.1669 Å
α = 90.00°, β = 90.00°, γ = 120.00°
Space group R3m (No. 160, hexagonal axes)
Symmetry-distinct sites (fractional):
1 Tb 0.0000 0.0000 0.0000 [3 per cell]
2 Dy 0.0000 0.0000 0.4174 [3 per cell]
3 Dy 0.0000 0.0000 0.5825 [3 per cell]
4 Er 0.0000 0.0000 0.1662 [3 per cell]



# 3
Material: TbDy3Er4
Method: DFT, PBE
State: relaxed

Output
Calculated total energy ... -70.06 eV for the cell shown
Energy above the lowest structure with this stoichiometry ... 204 meV per atom
Formation energy from the elements ... 0.2073 eV/atom

a = 5.5753 Å, b = 25.9332 Å, c = 3.5176 Å
α = 90.00°, β = 90.00°, γ = 90.00°
Space group Cmmm (No. 65)
Symmetry-distinct sites (fractional):
1 Tb 0.0000 0.0000 0.0000 [2 per cell]
2 Dy 0.0000 0.3444 0.0000 [4 per cell]
3 Dy 0.0000 0.5000 0.5000 [2 per cell]
4 Er 0.0000 0.1039 0.5000 [4 per cell]
5 Er 0.0000 0.2233 0.5000 [4 per cell]